Entry 1:
First-principles (PBE) data for Pr3AlIn2Pd9 after structural relaxation, as listed in Alexandria.

The space group is P-3m1 (164). The calculation puts the formation enthalpy at 0 K at -38.73 kJ per mole of atoms. The calculation puts the density of states at the Fermi level at 0.2950 states/eV/atom.

POSCAR file:
```
Pr3AlIn2Pd9
1.0
6.854 0.000 0.000
-3.427 5.936 0.000
0.000 0.000 8.852
Pr Al In Pd
3 1 2 9
Direct
0.000 0.000 0.000
0.333 0.667 0.733
0.667 0.333 0.267
0.000 0.000 0.500
0.333 0.667 0.202
0.667 0.333 0.798
0.000 0.500 0.000
0.131 0.262 0.284
0.131 0.869 0.284
0.262 0.131 0.716
0.500 0.000 0.000
0.500 0.500 0.000
0.738 0.869 0.284
0.869 0.131 0.716
0.869 0.738 0.716
```

=====

Entry 2:
First-principles (PBE) data for PrY4Ho10 after structural relaxation, as listed in Alexandria.

The space group is I4/m (87). The calculation puts the formation enthalpy at 0 K at 44.90 kJ per mole of atoms. The calculation puts the density of states at the Fermi level at 1.8994 states/eV/atom.

POSCAR file:
```
PrY4Ho10
1.0
-4.886 4.886 5.412
4.886 -4.886 5.412
4.886 4.886 -5.412
Pr Y Ho
1 4 10
Direct
0.000 0.000 0.000
0.208 0.444 0.652
0.444 0.792 0.236
0.556 0.208 0.764
0.792 0.556 0.348
0.049 0.390 0.099
0.051 0.951 0.341
0.250 0.750 0.500
0.291 0.949 0.901
0.390 0.291 0.341
0.610 0.709 0.659
0.709 0.051 0.099
0.750 0.250 0.500
0.949 0.049 0.659
0.951 0.610 0.901
```

=====

Entry 3:
First-principles (PBE) data for ReNi2Br after structural relaxation, as listed in Alexandria.

The space group is Cmmm (65). For the relative energy among the computed polymorphs, the calculation gives 0.448 eV/atom. The value obtained for the raw formation energy is 0.8479 eV per atom. The calculation puts the density of states at the Fermi level at 1.5002 states/eV/atom.

POSCAR file:
```
ReNi2Br
1.0
2.578 -3.912 0.000
2.578 3.912 0.000
0.000 0.000 2.785
Re Ni Br
1 2 1
Direct
0.000 0.000 0.000
0.000 0.500 0.500
0.500 0.000 0.500
0.500 0.500 0.000
```

=====

Entry 4:
First-principles (PBE) data for ZrCoGe2Te after structural relaxation, as listed in Alexandria.

The space group is P4/mmm (123). The value obtained for the raw formation energy is -0.1568 eV per atom. The calculation puts the density of states at the Fermi level at 0.7578 states/eV/atom.

POSCAR file:
```
ZrCoGe2Te
1.0
4.429 0.000 0.000
0.000 4.429 0.000
0.000 0.000 5.248
Zr Co Ge Te
1 1 2 1
Direct
0.000 0.000 0.000
0.000 0.000 0.500
0.000 0.500 0.500
0.500 0.000 0.500
0.500 0.500 0.000
```

=====

Entry 5:
First-principles (PBE) data for MgZnCo3 after structural relaxation, as listed in Alexandria.

The space group is Pm-3m (221). For the relative energy among the computed polymorphs, the calculation gives 0.459 eV/atom. The calculation puts the formation enthalpy at 0 K at 136.20 kJ per mole of atoms. The calculation puts the density of states at the Fermi level at 1.2661 states/eV/atom.

POSCAR file:
```
MgZnCo3
1.0
4.331 0.000 0.000
0.000 4.331 0.000
0.000 0.000 4.331
Mg Zn Co
1 1 3
Direct
0.000 0.000 0.000
0.500 0.500 0.500
0.000 0.000 0.500
0.000 0.500 0.000
0.500 0.000 0.000
```

=====

Entry 6:
First-principles (PBE) data for NaGaI2 after structural relaxation, as listed in Alexandria.

The space group is P3_221 (154). For the relative energy among the computed polymorphs, the calculation gives 0.010 eV/atom. The value obtained for the raw formation energy is -0.7820 eV per atom. The calculation puts the density of states at the Fermi level at 0.0000 states/eV/atom.

POSCAR file:
```
NaGaI2
1.0
4.606 0.000 0.000
-2.303 3.989 0.000
0.000 0.000 23.509
Na Ga I
3 3 6
Direct
0.000 0.002 0.333
0.002 0.000 0.667
0.998 0.998 0.000
0.000 0.000 0.167
0.000 0.000 0.500
0.000 0.000 0.833
0.332 0.666 0.919
0.334 0.666 0.586
0.334 0.668 0.253
0.666 0.332 0.081
0.666 0.334 0.414
0.668 0.334 0.747
```

=====

Entry 7:
First-principles (PBE) data for FeCoSb2 after structural relaxation, as listed in Alexandria.

The space group is P4mm (99). The value obtained for the raw formation energy is 0.1135 eV per atom. The calculation puts the density of states at the Fermi level at 0.9457 states/eV/atom.

POSCAR file:
```
FeCoSb2
1.0
3.178 0.000 0.000
0.000 3.178 0.000
0.000 0.000 7.749
Fe Co Sb
1 1 2
Direct
0.000 0.000 0.000
0.500 0.500 0.855
0.000 0.000 0.644
0.500 0.500 0.215
```

=====

Entry 8:
First-principles (PBE) data for Ce2PuBr6 after structural relaxation, as listed in Alexandria.

The space group is C2/m (12). The value obtained for the raw formation energy is -1.5418 eV per atom. The calculation puts the density of states at the Fermi level at 2.9115 states/eV/atom.

POSCAR file:
```
Ce2PuBr6
1.0
9.455 -2.045 0.000
9.455 2.045 0.000
-2.505 0.000 8.465
Ce Pu Br
2 1 6
Direct
0.178 0.178 0.361
0.822 0.822 0.639
0.500 0.500 0.000
0.008 0.008 0.248
0.336 0.336 0.902
0.341 0.341 0.403
0.659 0.659 0.597
0.664 0.664 0.098
0.992 0.992 0.752
```

=====

Entry 9:
First-principles (PBE) data for KOsCl4 after structural relaxation, as listed in Alexandria.

The space group is F-43m (216). For the relative energy among the computed polymorphs, the calculation gives 1.670 eV/atom. The value obtained for the raw formation energy is 0.8596 eV per atom. The calculation puts the density of states at the Fermi level at 1.2293 states/eV/atom.

POSCAR file:
```
KOsCl4
1.0
0.000 4.329 4.329
4.329 0.000 4.329
4.329 4.329 0.000
K Os Cl
1 1 4
Direct
0.000 0.000 0.000
0.750 0.750 0.750
0.375 0.375 0.375
0.375 0.375 0.874
0.375 0.874 0.375
0.874 0.375 0.375
```

=====

Entry 10:
First-principles (PBE) data for Tl2CdSb2 after structural relaxation, as listed in Alexandria.

The space group is C2/m (12). For the relative energy among the computed polymorphs, the calculation gives 0.026 eV/atom. The value obtained for the raw formation energy is 0.0474 eV per atom. The calculation puts the density of states at the Fermi level at 0.5076 states/eV/atom.

POSCAR file:
```
Tl2CdSb2
1.0
6.082 -2.286 0.000
6.082 2.286 0.000
-3.925 0.000 5.706
Tl Cd Sb
2 1 2
Direct
0.204 0.204 0.204
0.796 0.796 0.796
0.000 0.000 0.500
0.500 0.500 0.229
0.500 0.500 0.771
```